DFT (GGA-PBE) results for a relaxed FeCoBr crystal.

abc: 4.1284 4.1284 3.0392
angles: 90.00 90.00 120.00
Last column: magnetic moment on the atom in μB.
Sites, in units of the cell vectors:
Fe  0.3333  0.6667  0.6573  2.92
Co  0.6667  0.3333  0.2110  1.46
Br  0.0000  0.0000  0.1317  0.09

Summary:
Crystal system = trigonal
Calculated density = 7.21 g cm⁻³
Space group = P3m1 (156)
Energy relative to the elements, uncorrected = 0.7458 eV per atom
Uncorrected energy = -5.001 eV per atom

---

DFT (GGA-PBE) results for a relaxed BeTlIr2 crystal.

abc: 4.4506 4.4506 4.4506
angles: 60.00 60.00 60.00
Last column: magnetic moment on the atom in μB.
Sites, in units of the cell vectors:
Ir  0.0000  0.0000  0.0000  0.18
Ir  0.2500  0.2500  0.2500  0.20
Be  0.5000  0.5000  0.5000  0.00
Tl  0.7500  0.7500  0.7500  0.00

Summary:
Crystal system = cubic
Calculated density = 15.93 g cm⁻³
Space group = F-43m (216)
ΔH_f (0 K) = 588 meV per atom
Uncorrected energy = -5.366 eV per atom

---

DFT (GGA-PBE) results for a relaxed DyThMgIn crystal.

abc: 5.3910 5.3910 5.3910
angles: 60.00 60.00 60.00
Sites, in units of the cell vectors:
Mg  0.0000  0.0000  0.0000
Dy  0.2500  0.2500  0.2500
In  0.5000  0.5000  0.5000
Th  0.7500  0.7500  0.7500

Summary:
Crystal system = cubic
Calculated density = 8.00 g cm⁻³
Space group = F-43m (216)
ΔH_f (0 K) = -181 meV per atom
Uncorrected energy = -4.269 eV per atom

---

DFT (GGA-PBE) results for a relaxed ZrV2GaCu crystal.

abc: 4.6124 4.3041 4.6124
angles: 90.00 90.00 90.00
Last column: magnetic moment on the atom in μB.
Sites, in units of the cell vectors:
V  0.0000  0.0000  0.5000  1.04
V  0.5000  0.0000  0.0000  0.85
Zr  0.5000  0.5000  0.5000  0.07
Cu  0.0000  0.5000  0.0000  0.01
Ga  0.0000  0.0000  0.0000  0.00

Summary:
Crystal system = tetragonal
Calculated density = 5.92 g cm⁻³
Space group = P4/mmm (123)
ΔH_f (0 K) = 758 meV per atom
Uncorrected energy = -6.024 eV per atom

---

What did the first record say?
DFT (GGA-PBE) results for a relaxed FeCoBr crystal.

abc: 4.1284 4.1284 3.0392
angles: 90.00 90.00 120.00
Last column: magnetic moment on the atom in μB.
Sites, in units of the cell vectors:
Fe  0.3333  0.6667  0.6573  2.92
Co  0.6667  0.3333  0.2110  1.46
Br  0.0000  0.0000  0.1317  0.09

Summary:
Crystal system = trigonal
Calculated density = 7.21 g cm⁻³
Space group = P3m1 (156)
Energy relative to the elements, uncorrected = 0.7458 eV per atom
Uncorrected energy = -5.001 eV per atom

---

Question: Look up the calculated density of the fourth one.
Answer: 5.92 g cm⁻³